Entry 1:
Rb2Hg2S: relaxed, PBE.

POSCAR file:
```
Rb2Hg2S
1.0
8.4265 0.0000 0.0000
0.0000 8.4265 0.0000
0.0000 0.0000 5.0906
S Hg Rb
2 4 4
Direct
0.0000 0.0000 0.0000
0.5000 0.5000 0.0000
0.3697 0.8697 0.0000
0.8697 0.6303 0.0000
0.6303 0.1303 0.0000
0.1303 0.3697 0.0000
0.1830 0.6830 0.5000
0.6830 0.8170 0.5000
0.8170 0.3170 0.5000
0.3170 0.1830 0.5000
```

Computed properties:
* energy: -1.66 eV per atom
* crystal system: tetragonal
* size of the total moment: 0.00 μB/f.u.
* space group: P4/mbm, No. 127
* raw formation energy: -0.330 eV/atom

Entry 2:
Rb4HgS3: relaxed, PBE.

POSCAR file:
```
Rb4HgS3
1.0
-1.5465 0.2981 -7.7750
7.0256 -4.9691 2.4591
-9.8608 -4.7940 1.7775
S Hg Rb
6 2 8
Direct
0.6393 0.2212 0.7704
0.5819 0.2212 0.2704
0.3055 0.6190 0.6166
0.3135 0.6190 0.1166
0.8922 0.8641 0.7991
0.9719 0.8641 0.2991
0.6350 0.9285 0.7416
0.2936 0.9285 0.2416
0.3164 0.2223 0.9755
0.9060 0.2223 0.4755
0.5525 0.4211 0.6090
0.8686 0.4211 0.1090
0.0836 0.6215 0.8637
0.5379 0.6215 0.3637
0.1700 0.8820 0.5740
0.7121 0.8820 0.0740
```

Computed properties:
* energy: -2.94 eV per atom
* crystal system: monoclinic
* size of the total moment: 0.00 μB/f.u.
* space group: Cc, No. 9
* raw formation energy: -0.872 eV/atom

Entry 3:
Rb8Hg2S: relaxed, PBE.

POSCAR file:
```
Rb8Hg2S
1.0
4.9635 0.0000 -1.2480
0.0321 10.1542 0.1277
0.7378 0.5257 13.4285
Rb Hg S
8 2 1
Direct
0.5979 0.4802 0.1959
0.3777 0.0231 0.7555
0.2336 0.3028 0.4673
0.0051 0.8017 0.0102
0.7664 0.6972 0.5327
0.6223 0.9769 0.2445
0.4021 0.5198 0.8041
0.9949 0.1983 0.9898
0.1601 0.6895 0.3201
0.8399 0.3105 0.6799
0.5000 0.0000 0.0000
```

Computed properties:
* energy: -1.45 eV per atom
* crystal system: monoclinic
* size of the total moment: 0.00 μB/f.u.
* space group: C2/m, No. 12
* raw formation energy: -0.321 eV/atom

Entry 4:
RbHg2S: relaxed, PBE.

POSCAR file:
```
RbHg2S
1.0
-9.0977 0.3105 0.1037
-0.3187 -9.0589 -0.8433
-4.6822 -4.6697 2.7941
S Hg Rb
2 4 2
Direct
0.5000 0.5000 0.0000
0.2500 0.7500 0.5000
0.5472 0.1250 0.2500
0.2028 0.6250 0.2500
0.3750 0.4528 0.7500
0.8750 0.7972 0.7500
0.0000 0.0000 0.0000
0.7500 0.2500 0.5000
```

Computed properties:
* energy: -1.67 eV per atom
* crystal system: tetragonal
* size of the total moment: 0.00 μB/f.u.
* space group: I-42d, No. 122
* raw formation energy: -0.246 eV/atom

Entry 5:
RbHg3S: relaxed, PBE.

POSCAR file:
```
RbHg3S
1.0
-1.2804 3.5453 -5.6012
-5.2405 -4.0349 -1.3560
-4.0595 4.0905 3.5171
S Hg Rb
1 3 1
Direct
0.5000 0.5000 0.5000
0.0000 0.5000 0.0000
0.0000 0.0000 0.5000
0.5000 0.0000 0.0000
0.0000 0.0000 0.0000
```

Computed properties:
* energy: -0.79 eV per atom
* crystal system: cubic
* size of the total moment: 1.00 μB/f.u.
* space group: Pm-3m, No. 221
* raw formation energy: 0.415 eV/atom

Entry 6:
RbHg5S4: relaxed, PBE.

POSCAR file:
```
RbHg5S4
1.0
-2.5564 0.7494 4.4839
8.0483 -1.2035 4.7897
2.2361 12.0269 -0.7353
Rb Hg S
2 10 8
Direct
0.9989 0.0000 0.0000
0.0011 0.5000 0.5000
0.3190 0.6821 0.8118
0.3190 0.3179 0.8118
0.7531 0.5000 0.0000
0.3190 0.6821 0.1882
0.3190 0.3179 0.1882
0.6810 0.8179 0.3118
0.6810 0.1821 0.3118
0.2469 0.0000 0.5000
0.6810 0.1821 0.6882
0.6810 0.8179 0.6882
0.0379 0.0000 0.6990
0.5202 0.7477 0.0000
0.5202 0.2523 0.0000
0.0379 0.0000 0.3010
0.9621 0.5000 0.1990
0.4798 0.7523 0.5000
0.4798 0.2477 0.5000
0.9621 0.5000 0.8010
```

Computed properties:
* energy: -2.09 eV per atom
* crystal system: orthorhombic
* size of the total moment: 0.00 μB/f.u.
* space group: Pmmn, No. 59
* raw formation energy: -0.186 eV/atom

Entry 7:
Rb5Hg2S5: relaxed, PBE.

POSCAR file:
```
Rb5Hg2S5
1.0
-0.7781 -3.6763 2.0892
1.3774 -2.1072 -7.6191
10.9813 0.2866 4.5942
Rb Hg S
5 2 5
Direct
0.5000 0.0000 0.5000
0.6532 0.3063 0.0793
0.7751 0.5503 0.3687
0.2249 0.4497 0.6313
0.3468 0.6937 0.9207
0.0346 0.0691 0.7900
0.9654 0.9309 0.2100
0.1104 0.2207 0.3601
0.6370 0.2740 0.7909
0.3630 0.7260 0.2091
0.8896 0.7793 0.6399
0.0000 0.0000 0.0000
```

Computed properties:
* energy: -2.86 eV per atom
* crystal system: monoclinic
* size of the total moment: 0.89 μB/f.u.
* space group: C2/m, No. 12
* raw formation energy: -0.690 eV/atom

Entry 8:
Rb12Hg3S5: relaxed, PBE.

POSCAR file:
```
Rb12Hg3S5
1.0
-17.7947 -0.2531 2.0911
6.4060 -16.6833 1.3105
7.3644 10.2427 12.7255
Hg S Rb
12 20 48
Direct
0.7500 0.3750 0.1250
0.8750 0.7500 0.1250
0.3750 0.7500 0.6250
0.2500 0.1250 0.3750
0.8750 0.1250 0.2500
0.3750 0.6250 0.2500
0.6250 0.3750 0.7500
0.1250 0.8750 0.7500
0.7500 0.8750 0.6250
0.6250 0.2500 0.3750
0.1250 0.2500 0.8750
0.2500 0.6250 0.8750
0.1250 0.3750 0.2500
0.0000 0.5000 0.0000
0.0000 0.0000 0.0000
0.3750 0.2500 0.1250
0.5000 0.0000 0.5000
0.5000 0.5000 0.0000
0.1250 0.7500 0.3750
0.7500 0.1250 0.8750
0.7500 0.6250 0.3750
0.3750 0.1250 0.7500
0.6250 0.8750 0.2500
0.5000 0.5000 0.5000
0.5000 0.0000 0.0000
0.0000 0.0000 0.5000
0.2500 0.3750 0.6250
0.2500 0.8750 0.1250
0.0000 0.5000 0.5000
0.8750 0.2500 0.6250
0.6250 0.7500 0.8750
0.8750 0.6250 0.7500
0.6968 0.1065 0.0184
0.3215 0.5184 0.4119
0.9816 0.3935 0.3032
0.5184 0.1968 0.1065
0.5904 0.6968 0.6785
0.9816 0.5881 0.1785
0.3215 0.8032 0.4096
0.0881 0.9096 0.1065
0.5881 0.9816 0.6785
0.6968 0.5904 0.1785
0.8032 0.4816 0.3935
0.8215 0.9119 0.0184
0.1065 0.6968 0.5184
0.3935 0.4119 0.0904
0.0904 0.9119 0.3935
0.4096 0.1065 0.5881
0.0904 0.1785 0.1968
0.4816 0.6785 0.0881
0.8215 0.9096 0.3032
0.1065 0.4096 0.0881
0.3935 0.9816 0.8032
0.5881 0.6065 0.4096
0.9119 0.8215 0.5184
0.8032 0.3215 0.9096
0.4119 0.3935 0.5904
0.0881 0.1785 0.4816
0.1968 0.6785 0.0904
0.1785 0.0904 0.6968
0.6065 0.0184 0.1968
0.8935 0.5904 0.9119
0.5184 0.3215 0.9119
0.5904 0.8935 0.4119
0.9096 0.8215 0.8032
0.9096 0.0881 0.6065
0.8935 0.3032 0.4816
0.1785 0.0881 0.9816
0.6065 0.5881 0.9096
0.4119 0.0184 0.3215
0.3032 0.4096 0.8215
0.1968 0.5184 0.6065
0.9119 0.0904 0.8935
0.6785 0.1968 0.5904
0.4816 0.8032 0.8935
0.0184 0.4119 0.8215
0.4096 0.3032 0.3215
0.0184 0.6065 0.6968
0.6785 0.4816 0.5881
0.3032 0.8935 0.9816
```

Computed properties:
* energy: -2.27 eV per atom
* crystal system: cubic
* size of the total moment: 0.00 μB/f.u.
* space group: Ia-3d, No. 230
* raw formation energy: -0.608 eV/atom